1.
Computed, not measured: a crystal of AlAg2As relaxed with PBEsol at the meta-GGA SCAN level of DFT.

The space group is Pmmm (No. 47) and the conventional cell measures 3.2359, 4.4996 and 4.7121 Å, with angles of 90.00, 90.00 and 90.00 degrees. The asymmetric unit holds Al at (0.0000, 0.0000, 0.0000), Ag at (0.0000, 0.5000, 0.5000), Ag at (0.5000, 0.5000, 0.0000) and As at (0.5000, 0.0000, 0.5000).

The energy above the most stable polymorph in this dataset is 0.27 eV per formula unit. As for the density: 7.688 g/cm3.

=====

2.
Computed, not measured: a crystal of AlAgAs2 relaxed with PBEsol at the meta-GGA SCAN level of DFT.

The space group is P2/m (No. 10) and the conventional cell measures 4.1085, 3.5940 and 5.4547 Å, with angles of 90.00, 109.01 and 90.00 degrees. The asymmetric unit holds Al at (0.0000, 0.0000, 0.0000), Ag at (0.5000, 0.0000, 0.5000) and As at (0.2781, 0.5000, 0.7822).

The energy above the most stable polymorph in this dataset is 0.49 eV per formula unit. As for the density: 6.208 g/cm3.

=====

3.
Computed, not measured: a crystal of AlAgAs2 relaxed with PBEsol at the meta-GGA SCAN level of DFT.

The space group is Imm2 (No. 44) and the conventional cell measures 3.5237, 3.8216 and 11.1043 Å, with angles of 90.00, 90.00 and 90.00 degrees. The asymmetric unit holds Al at (0.0000, 0.0000, 0.0000), Ag at (0.0000, 0.5000, 0.1715), As at (0.0000, 0.0000, 0.4377) and As at (0.0000, 0.5000, 0.7497).

The energy above the most stable polymorph in this dataset is 0.91 eV per formula unit. As for the density: 6.323 g/cm3.